A plane-wave DFT calculation with PBEsol was carried out for a relaxed TaTl2Mo crystal.

Cell lengths 2.953, 4.412, 5.862 Å; angles 90.00, 90.00, 90.00 degrees
Element x y z (fractional)
Ta: 0.000 0.000 0.000
Tl: 0.500 0.500 0.254
Tl: 0.500 0.500 0.746
Mo: 0.000 0.000 0.500

Values from the calculation:
**Distance to the lowest polymorph of the same formula**: 0.408 eV per formula unit
**Formation enthalpy at 0 K**: 775.0 meV/atom
**VASP energy**: -6.62 eV per atom
**Space-group type**: No. 47

A plane-wave DFT calculation with PBEsol was carried out for a relaxed ReAgOs2 crystal.

Cell lengths 4.807, 4.807, 4.726 Å; angles 99.76, 99.76, 33.00 degrees
Element x y z (fractional)
Re: 0.000 0.000 0.000
Ag: 0.239 0.239 0.731
Os: 0.478 0.478 0.469
Os: 0.743 0.743 0.231

Values from the calculation:
**Distance to the lowest polymorph of the same formula**: 0.959 eV per formula unit
**Formation enthalpy at 0 K**: 493.5 meV/atom
**VASP energy**: -9.78 eV per atom
**Space-group type**: No. 8

A plane-wave DFT calculation with PBEsol was carried out for a relaxed InTcTe2 crystal.

Cell lengths 3.233, 7.541, 7.541 Å; angles 33.21, 90.00, 90.00 degrees
Element x y z (fractional)
In: 0.000 0.000 0.000
Tc: 0.500 0.467 0.467
Te: 0.000 0.327 0.327
Te: 0.500 0.654 0.654

Values from the calculation:
**VASP energy**: -5.26 eV per atom
**Space-group type**: No. 38
**ΔE_f (raw)**: 70 meV/atom

A plane-wave DFT calculation with PBEsol was carried out for a relaxed Cs3CaPt crystal.

Cell lengths 6.596, 6.596, 6.596 Å; angles 90.00, 90.00, 90.00 degrees
Element x y z (fractional)
Cs: 0.000 0.000 0.500
Cs: 0.000 0.500 0.000
Cs: 0.500 0.000 0.000
Ca: 0.500 0.500 0.500
Pt: 0.000 0.000 0.000

Values from the calculation:
**Formation enthalpy at 0 K**: 302.8 meV/atom
**VASP energy**: -2.08 eV per atom
**Space-group type**: No. 221

A plane-wave DFT calculation with PBEsol was carried out for a relaxed InPb2 crystal.

Cell lengths 5.132, 5.132, 5.132 Å; angles 60.00, 60.00, 60.00 degrees
Element x y z (fractional)
In: 0.000 0.000 0.000
Pb: 0.250 0.250 0.250
Pb: 0.750 0.750 0.750

Values from the calculation:
**Formation enthalpy at 0 K**: 85.7 meV/atom
**VASP energy**: -3.57 eV per atom
**Space-group type**: No. 225

A plane-wave DFT calculation with PBEsol was carried out for a relaxed SrCrSnP3O12 crystal.

Cell lengths 9.018, 9.018, 9.018 Å; angles 55.31, 55.31, 55.31 degrees
Element x y z (fractional)
Sr: 0.000 0.000 0.000
Sr: 0.500 0.500 0.500
Cr: 0.151 0.151 0.151
Cr: 0.849 0.849 0.849
Sn: 0.352 0.352 0.352
Sn: 0.648 0.648 0.648
P: 0.039 0.757 0.461
P: 0.243 0.539 0.961
P: 0.461 0.039 0.757
P: 0.539 0.961 0.243
P: 0.757 0.461 0.039
P: 0.961 0.243 0.539
O: 0.020 0.735 0.651
O: 0.026 0.958 0.300
O: 0.042 0.700 0.974
O: 0.111 0.289 0.525
O: 0.243 0.607 0.388
O: 0.265 0.349 0.980
O: 0.289 0.525 0.111
O: 0.300 0.026 0.958
O: 0.349 0.980 0.265
O: 0.388 0.243 0.607
O: 0.393 0.612 0.757
O: 0.475 0.889 0.711
O: 0.525 0.111 0.289
O: 0.607 0.388 0.243
O: 0.612 0.757 0.393
O: 0.651 0.020 0.735
O: 0.700 0.974 0.042
O: 0.711 0.475 0.889
O: 0.735 0.651 0.020
O: 0.757 0.393 0.612
O: 0.889 0.711 0.475
O: 0.958 0.300 0.026
O: 0.974 0.042 0.700
O: 0.980 0.265 0.349

Values from the calculation:
**VASP energy**: -7.66 eV per atom
**Space-group type**: No. 148
**ΔE_f (raw)**: -2283 meV/atom

A plane-wave DFT calculation with PBEsol was carried out for a relaxed YTaFe3 crystal.

Cell lengths 4.501, 4.501, 4.501 Å; angles 90.00, 90.00, 90.00 degrees
Element x y z (fractional)
Y: 0.000 0.000 0.000
Ta: 0.500 0.500 0.500
Fe: 0.000 0.500 0.500
Fe: 0.500 0.000 0.500
Fe: 0.500 0.500 0.000

Values from the calculation:
**Formation enthalpy at 0 K**: 891.9 meV/atom
**VASP energy**: -8.36 eV per atom
**Space-group type**: No. 221

A plane-wave DFT calculation with PBEsol was carried out for a relaxed LiLaPb2 crystal.

Cell lengths 3.654, 3.654, 7.730 Å; angles 90.00, 90.00, 90.00 degrees
Element x y z (fractional)
Li: 0.000 0.000 0.000
La: 0.000 0.000 0.500
Pb: 0.500 0.500 0.210
Pb: 0.500 0.500 0.790

Values from the calculation:
**Formation enthalpy at 0 K**: -429.8 meV/atom
**VASP energy**: -4.26 eV per atom
**Space-group type**: No. 123

Q: What is the VASP energy in the second record?
A: -9.78 eV per atom

Q: Which of these has the lowest VASP energy?
A: ReAgOs2